NaZnTe2Se | PBE-GGA | relaxed

Summary:
Total moment in Bohr magnetons per cell: 0.00
Crystal system: tetragonal
E_form (uncorrected) in meV/atom: 692

Cell lengths 5.584, 5.584, 4.940 Å; angles 90.00, 90.00, 90.00 degrees
Space group P4/mmm (No. 123)
One atom of each set of equivalent atoms:
Na (0.000, 0.000, 0.000) [1 per cell]
Zn (0.000, 0.000, 0.500) [1 per cell]
Te (0.000, 0.500, 0.000) [2 per cell]
Se (0.500, 0.500, 0.500) [1 per cell]